(1)
The following is a DFT calculation (GGA-PBE) of crystalline K2RbTl at its relaxed geometry.

Cell: 6.001 5.988 5.988 Å, 90.00 90.00 90.00°
Element x y z (fractional)
K: 0.000 0.500 0.000
K: 0.000 0.000 0.500
Rb: 0.500 0.000 0.000
Tl: 0.500 0.500 0.500

Formation energy from the elements ... 0.035 eV/atom
Space group ... P4/mmm, No. 123
Electronic total energy ... -5.4 eV/cell
Energy above the lowest structure with this stoichiometry ... 5.1 kJ per mole of atoms

=====

(2)
The following is a DFT calculation (GGA-PBE) of crystalline CeNd2Ho8 at its relaxed geometry.

Cell: 5.585 10.126 10.126 Å, 39.98 92.78 92.78°
Last column: magnetic moment on the atom in μB.
Element x y z (fractional)
Ho: 0.732 0.865 0.394  0.01
Ho: 0.767 0.816 0.816  0.01
Ho: 0.268 0.606 0.135  0.01
Ho: 0.732 0.394 0.865  0.01
Ho: 0.268 0.135 0.606  0.01
Ho: 0.233 0.184 0.184  0.01
Ho: 0.764 0.453 0.453  0.02
Ho: 0.236 0.547 0.547  0.02
Nd: 0.751 0.283 0.283  -0.02
Nd: 0.249 0.717 0.717  -0.02
Ce: 0.000 0.000 0.000  0.93

Formation energy from the elements ... 0.184 eV/atom
Space group ... C2/m, No. 12
Electronic total energy ... -50.1 eV/cell
Energy above the lowest structure with this stoichiometry ... 13.8 kJ per mole of atoms

=====

(3)
The following is a DFT calculation (GGA-PBE) of crystalline Cs2NaTaCl6 at its relaxed geometry.

Cell: 7.508 7.508 7.508 Å, 60.00 60.00 60.00°
Last column: magnetic moment on the atom in μB.
Element x y z (fractional)
Cl: 0.235 0.235 0.765  -0.01
Cl: 0.765 0.765 0.235  -0.01
Cl: 0.235 0.765 0.235  0.01
Cl: 0.765 0.235 0.765  0.01
Cl: 0.235 0.765 0.765  0.00
Cl: 0.765 0.235 0.235  0.00
Cs: 0.250 0.250 0.250  0.00
Cs: 0.750 0.750 0.750  0.00
Ta: 0.000 0.000 0.000  1.37
Na: 0.500 0.500 0.500  0.00

Space group ... Fm-3m, No. 225
Electronic total energy ... -41.9 eV/cell
Formation energy from raw total energies ... -1.594 eV/atom

=====

(4)
The following is a DFT calculation (GGA-PBE) of crystalline YNiHg2Ge at its relaxed geometry.

Cell: 5.192 4.413 5.192 Å, 90.00 90.00 90.00°
Element x y z (fractional)
Hg: 0.000 0.000 0.500
Hg: 0.500 0.000 0.000
Ge: 0.000 0.000 0.000
Ni: 0.000 0.500 0.000
Y: 0.500 0.500 0.500

Formation energy from the elements ... 0.172 eV/atom
Space group ... P4/mmm, No. 123
Electronic total energy ... -16.6 eV/cell

=====

(5)
The following is a DFT calculation (GGA-PBE) of crystalline YNbOF2 at its relaxed geometry.

Cell: 4.423 4.423 4.032 Å, 90.00 90.00 90.00°
Last column: magnetic moment on the atom in μB.
Element x y z (fractional)
Nb: 0.000 0.000 0.000  1.38
O: 0.000 0.000 0.500  -0.04
Y: 0.500 0.500 0.500  0.65
F: 0.500 0.000 0.000  0.07
F: 0.000 0.500 0.000  0.07

Space group ... P4/mmm, No. 123
Electronic total energy ... -34.1 eV/cell
Formation energy from raw total energies ... -1.768 eV/atom
Energy above the lowest structure with this stoichiometry ... 9.8 kJ per mole of atoms

=====

(6)
The following is a DFT calculation (GGA-PBE) of crystalline BaC3 at its relaxed geometry.

Cell: 4.415 4.415 4.415 Å, 60.00 60.00 60.00°
Element x y z (fractional)
C: 0.250 0.250 0.250
C: 0.750 0.750 0.750
C: 0.500 0.500 0.500
Ba: 0.000 0.000 0.000

Formation energy from the elements ... 3.301 eV/atom
Space group ... Fm-3m, No. 225
Electronic total energy ... -16.4 eV/cell
Energy above the lowest structure with this stoichiometry ... 292.9 kJ per mole of atoms

=====

(7)
The following is a DFT calculation (GGA-PBE) of crystalline Pr4Nd2Tl at its relaxed geometry.

Cell: 3.626 8.864 8.746 Å, 116.41 101.96 90.00°
Element x y z (fractional)
Pr: 0.921 0.294 0.842
Pr: 0.366 0.601 0.731
Pr: 0.079 0.706 0.158
Pr: 0.634 0.399 0.269
Tl: 0.000 0.000 0.000
Nd: 0.783 0.859 0.566
Nd: 0.217 0.141 0.434

Formation energy from the elements ... -0.009 eV/atom
Space group ... C2/m, No. 12
Electronic total energy ... -31.1 eV/cell
Energy above the lowest structure with this stoichiometry ... 0.3 kJ per mole of atoms

=====

(8)
The following is a DFT calculation (GGA-PBE) of crystalline Pm3Y4Rh4 at its relaxed geometry.

Cell: 3.842 8.923 9.361 Å, 118.46 101.84 90.00°
Element x y z (fractional)
Rh: 0.500 0.217 0.000
Rh: 0.500 0.783 0.000
Rh: 0.750 0.250 0.500
Rh: 0.250 0.750 0.500
Y: 0.333 0.520 0.667
Y: 0.667 0.853 0.333
Y: 0.667 0.480 0.333
Y: 0.333 0.147 0.667
Pm: 0.102 0.102 0.204
Pm: 0.898 0.898 0.796
Pm: 0.000 0.500 0.000

Formation energy from the elements ... -0.575 eV/atom
Space group ... Immm, No. 71
Electronic total energy ... -75.8 eV/cell